# 1
Density functional theory data (GGA-PBE) for crystalline Hf3Np3TiN8 at its relaxed geometry.

Cell: 6.630 6.630 6.630 Å, 57.88 57.88 57.88°
Sites, in units of the cell vectors:
Hf1 0.000 0.500 0.500
Hf2 0.500 0.000 0.500
Hf3 0.500 0.500 0.000
Np1 0.000 0.000 0.500
Np2 0.000 0.500 0.000
Np3 0.500 0.000 0.000
Ti1 0.000 0.000 0.000
N1 0.233 0.233 0.757
N2 0.233 0.757 0.233
N3 0.243 0.767 0.767
N4 0.259 0.259 0.259
N5 0.741 0.741 0.741
N6 0.757 0.233 0.233
N7 0.767 0.243 0.767
N8 0.767 0.767 0.243

## Properties
Symmetry = R-3m (166)
Formation energy from raw total energies = -1.43 eV/atom
D(E_F) = 15.74 states/eV/f.u.
Final energy = -10.976 eV/atom
Calculated volume = 13.07 Å³ per atom
Calculated density = 11.9 g/cm3

***

# 2
Density functional theory data (GGA-PBE) for crystalline Tb6Dy7Y16 at its relaxed geometry.

Cell: 11.160 11.160 11.160 Å, 60.00 60.00 60.00°
Sites, in units of the cell vectors:
Tb1 0.226 0.226 0.774
Tb2 0.226 0.774 0.226
Tb3 0.226 0.774 0.774
Tb4 0.774 0.226 0.226
Tb5 0.774 0.226 0.774
Tb6 0.774 0.774 0.226
Dy1 0.000 0.000 0.500
Dy2 0.000 0.500 0.000
Dy3 0.000 0.500 0.500
Dy4 0.500 0.000 0.000
Dy5 0.500 0.000 0.500
Dy6 0.500 0.500 0.000
Dy7 0.500 0.500 0.500
Y1 0.130 0.623 0.623
Y2 0.151 0.151 0.151
Y3 0.151 0.151 0.546
Y4 0.151 0.546 0.151
Y5 0.377 0.377 0.377
Y6 0.377 0.377 0.870
Y7 0.377 0.870 0.377
Y8 0.454 0.849 0.849
Y9 0.546 0.151 0.151
Y10 0.623 0.130 0.623
Y11 0.623 0.623 0.130
Y12 0.623 0.623 0.623
Y13 0.849 0.454 0.849
Y14 0.849 0.849 0.454
Y15 0.849 0.849 0.849
Y16 0.870 0.377 0.377

## Properties
Symmetry = Fm-3m (225)
D(E_F) = 62.52 states/eV/f.u.
Final energy = -5.385 eV/atom
E_form = 7.249 eV per formula unit
Calculated volume = 33.89 Å³ per atom
Calculated density = 5.9 g/cm3

***

# 3
Density functional theory data (GGA-PBE) for crystalline Rb2Sr2ReO6 at its relaxed geometry.

Cell: 6.043 6.043 6.838 Å, 98.00 98.00 118.46°
Sites, in units of the cell vectors:
Rb1 0.165 0.835 0.000
Rb2 0.835 0.165 0.000
Sr1 0.337 0.663 0.500
Sr2 0.663 0.337 0.500
Re1 0.000 0.000 0.500
O1 0.047 0.320 0.666
O2 0.210 0.210 0.327
O3 0.320 0.047 0.666
O4 0.680 0.953 0.334
O5 0.790 0.790 0.673
O6 0.953 0.680 0.334

## Properties
Symmetry = C2/m (12)
Formation energy from raw total energies = -2.03 eV/atom
D(E_F) = 6.08 states/eV/f.u.
Final energy = -6.349 eV/atom
Calculated volume = 19.21 Å³ per atom
Calculated density = 4.9 g/cm3

***

# 4
Density functional theory data (GGA-PBE) for crystalline TiIr2Ru at its relaxed geometry.

Cell: 9.284 9.284 9.284 Å, 156.44 156.44 33.56°
Sites, in units of the cell vectors:
Ti1 0.000 0.000 0.000
Ti2 0.750 0.250 0.500
Ir1 0.126 0.625 0.001
Ir2 0.375 0.376 0.501
Ir3 0.624 0.125 0.999
Ir4 0.875 0.874 0.499
Ru1 0.250 0.750 0.500
Ru2 0.500 0.500 0.000

## Properties
Symmetry = I-42d (122)
D(E_F) = 3.64 states/eV/f.u.
Final energy = -8.644 eV/atom
E_form = 0.318 eV per formula unit
Calculated volume = 15.97 Å³ per atom
Calculated density = 13.9 g/cm3

***

# 5
Density functional theory data (GGA-PBE) for crystalline LaPu2N3 at its relaxed geometry.

Cell: 6.582 6.582 4.708 Å, 90.00 90.00 96.75°
Sites, in units of the cell vectors:
La1 0.151 0.849 0.750
La2 0.849 0.151 0.250
Pu1 0.344 0.344 0.000
Pu2 0.344 0.344 0.500
Pu3 0.656 0.656 0.000
Pu4 0.656 0.656 0.500
N1 0.077 0.259 0.750
N2 0.259 0.077 0.250
N3 0.353 0.647 0.250
N4 0.647 0.353 0.750
N5 0.741 0.923 0.750
N6 0.923 0.741 0.250

## Properties
Symmetry = Cmcm (63)
Formation energy from raw total energies = -0.27 eV/atom
D(E_F) = 3.80 states/eV/f.u.
Final energy = -10.031 eV/atom
Calculated volume = 16.88 Å³ per atom
Calculated density = 11.0 g/cm3

***

# 6
Density functional theory data (GGA-PBE) for crystalline LiTmSiPd at its relaxed geometry.

Cell: 4.521 4.521 4.521 Å, 60.00 60.00 60.00°
Sites, in units of the cell vectors:
Li1 0.000 0.000 0.000
Tm1 0.750 0.750 0.750
Si1 0.250 0.250 0.250
Pd1 0.500 0.500 0.500

## Properties
Symmetry = F-43m (216)
Formation energy from raw total energies = -0.70 eV/atom
Final energy = -4.952 eV/atom
Calculated volume = 16.34 Å³ per atom
Calculated density = 7.9 g/cm3

***

# 7
Density functional theory data (GGA-PBE) for crystalline Rb2DyGaBr6 at its relaxed geometry.

Cell: 7.949 8.332 13.861 Å, 90.00 124.58 90.00°
Sites, in units of the cell vectors:
Rb1 0.227 0.070 0.249
Rb2 0.227 0.430 0.749
Rb3 0.773 0.570 0.251
Rb4 0.773 0.930 0.751
Dy1 0.500 0.000 0.000
Dy2 0.500 0.500 0.500
Ga1 0.000 0.000 0.500
Ga2 0.000 0.500 0.000
Br1 0.167 0.188 0.954
Br2 0.167 0.312 0.454
Br3 0.267 0.718 0.951
Br4 0.267 0.782 0.451
Br5 0.358 0.024 0.763
Br6 0.358 0.476 0.263
Br7 0.642 0.524 0.737
Br8 0.642 0.976 0.237
Br9 0.733 0.218 0.549
Br10 0.733 0.282 0.049
Br11 0.833 0.688 0.546
Br12 0.833 0.812 0.046

## Properties
Symmetry = P2_1/c (14)
Formation energy from raw total energies = -1.59 eV/atom
D(E_F) = 0.00 states/eV/f.u.
Final energy = -3.555 eV/atom
Calculated volume = 37.79 Å³ per atom
Calculated density = 3.9 g/cm3

***

# 8
Density functional theory data (GGA-PBE) for crystalline As2Ir at its relaxed geometry.

Cell: 6.140 6.150 6.245 Å, 90.00 112.99 90.00°
Sites, in units of the cell vectors:
As1 0.154 0.127 0.375
As2 0.154 0.373 0.875
As3 0.339 0.630 0.685
As4 0.339 0.870 0.185
As5 0.661 0.130 0.815
As6 0.661 0.370 0.315
As7 0.846 0.627 0.125
As8 0.846 0.873 0.625
Ir1 0.272 0.000 0.792
Ir2 0.272 0.500 0.292
Ir3 0.728 0.000 0.208
Ir4 0.728 0.500 0.708

## Properties
Symmetry = P2_1/c (14)
Final energy = -6.532 eV/atom
E_form = -1.437 eV per formula unit
Calculated volume = 18.09 Å³ per atom
Calculated density = 10.5 g/cm3

***

| no. | total moment (μB per formula unit) |
| --- | --- |
| 1 | 8.828 |
| 2 | 0.016 |
| 3 | 1.013 |
| 4 | 0.000 |
| 5 | 0.000 |
| 6 | 0.000 |
| 7 | 0.000 |
| 8 | 0.000 |